1.
# V2CuHPd PBE-GGA optimized geometry
# Symmetry: P4/mmm (123)
data_V2CuHPd
_cell_length_a 3.757
_cell_length_b 3.757
_cell_length_c 4.007
_cell_angle_alpha 90.00
_cell_angle_beta 90.00
_cell_angle_gamma 90.00
_symmetry_space_group_name_H-M 'P 1'
_symmetry_Int_Tables_number 1
_symmetry_space_group_name_Hall 'P 1'
loop_
_atom_site_label
_atom_site_type_symbol
_atom_site_fract_x
_atom_site_fract_y
_atom_site_fract_z
H1 H 0.000 0.000 0.000
Cu1 Cu 0.500 0.500 0.500
Pd1 Pd 0.000 0.000 0.500
V1 V 0.000 0.500 0.000
V2 V 0.500 0.000 0.000

2.
# V2CuHPd PBE-GGA optimized geometry
# Symmetry: P4/mmm (123)
data_V2CuHPd
_cell_length_a 3.753
_cell_length_b 3.753
_cell_length_c 3.979
_cell_angle_alpha 90.00
_cell_angle_beta 90.00
_cell_angle_gamma 90.00
_symmetry_space_group_name_H-M 'P 1'
_symmetry_Int_Tables_number 1
_symmetry_space_group_name_Hall 'P 1'
loop_
_atom_site_label
_atom_site_type_symbol
_atom_site_fract_x
_atom_site_fract_y
_atom_site_fract_z
H1 H 0.000 0.000 0.000
Cu1 Cu 0.000 0.000 0.500
Pd1 Pd 0.500 0.500 0.500
V1 V 0.000 0.500 0.000
V2 V 0.500 0.000 0.000

The most stable arrangement is 2, and the next structure is 3.0 kJ/mol of atoms less stable.

1.
# PmCuH4 PBE-GGA optimized geometry
# Symmetry: C2/c (15)
data_PmCuH4
_cell_length_a 4.241
_cell_length_b 4.977
_cell_length_c 6.727
_cell_angle_alpha 109.71
_cell_angle_beta 106.07
_cell_angle_gamma 95.96
_symmetry_space_group_name_H-M 'P 1'
_symmetry_Int_Tables_number 1
_symmetry_space_group_name_Hall 'P 1'
loop_
_atom_site_label
_atom_site_type_symbol
_atom_site_fract_x
_atom_site_fract_y
_atom_site_fract_z
Pm1 Pm 0.374 0.624 0.249
Pm2 Pm 0.626 0.376 0.751
Cu1 Cu 0.108 0.858 0.716
Cu2 Cu 0.892 0.142 0.284
H1 H 0.152 0.209 0.866
H2 H 0.737 0.651 0.567
H3 H 0.214 0.657 0.866
H4 H 0.329 0.916 0.567
H5 H 0.671 0.084 0.433
H6 H 0.786 0.343 0.134
H7 H 0.263 0.349 0.433
H8 H 0.848 0.791 0.134

2.
# PmCuH4 PBE-GGA optimized geometry
# Symmetry: C2/m (12)
data_PmCuH4
_cell_length_a 3.848
_cell_length_b 4.380
_cell_length_c 4.380
_cell_angle_alpha 65.51
_cell_angle_beta 64.16
_cell_angle_gamma 64.16
_symmetry_space_group_name_H-M 'P 1'
_symmetry_Int_Tables_number 1
_symmetry_space_group_name_Hall 'P 1'
loop_
_atom_site_label
_atom_site_type_symbol
_atom_site_fract_x
_atom_site_fract_y
_atom_site_fract_z
Pm1 Pm 0.002 0.503 0.499
Cu1 Cu 0.502 0.003 0.999
H1 H 0.672 0.091 0.569
H2 H 0.331 0.915 0.429
H3 H 0.331 0.433 0.911
H4 H 0.672 0.573 0.087

The most stable arrangement is 1, and the next structure is 5.5 kJ/mol of atoms less stable.

1.
# PmCuH3 PBE-GGA optimized geometry
# Symmetry: Pm-3m (221)
data_PmCuH3
_cell_length_a 3.662
_cell_length_b 3.662
_cell_length_c 3.662
_cell_angle_alpha 90.00
_cell_angle_beta 90.00
_cell_angle_gamma 90.00
_symmetry_space_group_name_H-M 'P 1'
_symmetry_Int_Tables_number 1
_symmetry_space_group_name_Hall 'P 1'
loop_
_atom_site_label
_atom_site_type_symbol
_atom_site_fract_x
_atom_site_fract_y
_atom_site_fract_z
H1 H 0.000 0.500 0.000
H2 H 0.000 0.000 0.500
H3 H 0.500 0.000 0.000
Cu1 Cu 0.000 0.000 0.000
Pm1 Pm 0.500 0.500 0.500

2.
# PmCuH3 PBE-GGA optimized geometry
# Symmetry: Cmcm (63)
data_PmCuH3
_cell_length_a 3.916
_cell_length_b 4.627
_cell_length_c 6.084
_cell_angle_alpha 90.00
_cell_angle_beta 71.26
_cell_angle_gamma 90.00
_symmetry_space_group_name_H-M 'P 1'
_symmetry_Int_Tables_number 1
_symmetry_space_group_name_Hall 'P 1'
loop_
_atom_site_label
_atom_site_type_symbol
_atom_site_fract_x
_atom_site_fract_y
_atom_site_fract_z
Pm1 Pm 0.138 0.250 0.724
Pm2 Pm 0.862 0.750 0.276
Cu1 Cu 0.425 0.250 0.148
Cu2 Cu 0.575 0.750 0.852
H1 H 0.316 0.999 0.367
H2 H 0.684 0.001 0.633
H3 H 0.684 0.499 0.633
H4 H 0.316 0.501 0.367
H5 H 0.932 0.250 0.138
H6 H 0.068 0.750 0.862

The most stable arrangement is 2, and the next structure is 19.4 kJ/mol of atoms less stable.